Entry 1:
{"formula": "ScPaIn2", "functional": "PBE-GGA", "state": "optimized geometry", "total_energy_ev_per_atom": -5.389, "de_polymorph_mev_per_atom": 158, "volume_a3_per_cell": 399, "ef_mev_per_atom": -63, "sg": "Fm-3m (225)", "lattice": [[7.3632, 0.0000, 0.0000], [0.0000, 7.3632, 0.0000], [0.0000, 0.0000, 7.3632]], "species": ["Sc", "Sc", "Sc", "Sc", "Pa", "Pa", "Pa", "Pa", "In", "In", "In", "In", "In", "In", "In", "In"], "frac_coords": [[0.0000, 0.0000, 0.0000], [0.0000, 0.5000, 0.5000], [0.5000, 0.0000, 0.5000], [0.5000, 0.5000, 0.0000], [0.0000, 0.0000, 0.5000], [0.0000, 0.5000, 0.0000], [0.5000, 0.0000, 0.0000], [0.5000, 0.5000, 0.5000], [0.2500, 0.2500, 0.2500], [0.2500, 0.2500, 0.7500], [0.2500, 0.7500, 0.2500], [0.2500, 0.7500, 0.7500], [0.7500, 0.2500, 0.2500], [0.7500, 0.2500, 0.7500], [0.7500, 0.7500, 0.2500], [0.7500, 0.7500, 0.7500]]}

---

Entry 2:
{"formula": "Sc5PaIn3", "functional": "PBE-GGA", "state": "optimized geometry", "total_energy_ev_per_atom": -5.796, "volume_a3_per_cell": 421, "ef_mev_per_atom": -310, "sg": "P6_3/mcm (193)", "lattice": [[8.8328, 0.0000, 0.0000], [-4.4164, 7.6495, 0.0000], [0.0000, 0.0000, 6.2308]], "species": ["Sc", "Sc", "Sc", "Sc", "Sc", "Sc", "Sc", "Sc", "Sc", "Sc", "Pa", "Pa", "In", "In", "In", "In", "In", "In"], "frac_coords": [[0.0000, 0.3222, 0.2500], [0.0000, 0.6778, 0.7500], [0.3222, 0.0000, 0.2500], [0.3222, 0.3222, 0.7500], [0.3333, 0.6667, 0.0000], [0.3333, 0.6667, 0.5000], [0.6667, 0.3333, 0.0000], [0.6667, 0.3333, 0.5000], [0.6778, 0.0000, 0.7500], [0.6778, 0.6778, 0.2500], [0.0000, 0.0000, 0.0000], [0.0000, 0.0000, 0.5000], [0.0000, 0.3473, 0.7500], [0.0000, 0.6527, 0.2500], [0.3473, 0.0000, 0.7500], [0.3473, 0.3473, 0.2500], [0.6527, 0.0000, 0.2500], [0.6527, 0.6527, 0.7500]]}

---

Entry 3:
{"formula": "Sc2PaIn3Se6", "functional": "PBE-GGA", "state": "optimized geometry", "total_energy_ev_per_atom": -5.346, "raw_formation_energy_ev_per_atom": -1.07, "volume_a3_per_cell": 326, "sg": "C2/m (12)", "lattice": [[3.4262, -5.9320, 0.0000], [3.4262, 5.9320, 0.0000], [-2.2998, 0.0000, 8.0221]], "species": ["Sc", "Sc", "Pa", "In", "In", "In", "Se", "Se", "Se", "Se", "Se", "Se"], "frac_coords": [[0.1668, 0.8332, 0.0000], [0.8332, 0.1668, 0.0000], [0.5000, 0.5000, 0.0000], [0.0000, 0.0000, 0.5000], [0.3344, 0.6656, 0.5000], [0.6656, 0.3344, 0.5000], [0.0904, 0.4335, 0.8015], [0.2228, 0.2228, 0.1972], [0.4335, 0.0904, 0.8015], [0.5665, 0.9096, 0.1985], [0.7772, 0.7772, 0.8028], [0.9096, 0.5665, 0.1985]]}

---

Entry 4:
{"formula": "Sc2PaIn3Te6", "functional": "PBE-GGA", "state": "optimized geometry", "total_energy_ev_per_atom": -4.828, "raw_formation_energy_ev_per_atom": -0.73, "volume_a3_per_cell": 385, "sg": "C2/m (12)", "lattice": [[3.6797, -6.3664, 0.0000], [3.6797, 6.3664, 0.0000], [-2.4581, 0.0000, 8.2133]], "species": ["Sc", "Sc", "Pa", "In", "In", "In", "Te", "Te", "Te", "Te", "Te", "Te"], "frac_coords": [[0.1674, 0.8326, 0.0000], [0.8326, 0.1674, 0.0000], [0.5000, 0.5000, 0.0000], [0.0000, 0.0000, 0.5000], [0.3371, 0.6629, 0.5000], [0.6629, 0.3371, 0.5000], [0.0851, 0.4281, 0.7848], [0.2268, 0.2268, 0.2119], [0.4281, 0.0851, 0.7848], [0.5719, 0.9149, 0.2152], [0.7732, 0.7732, 0.7881], [0.9149, 0.5719, 0.2152]]}

---

Entry 5:
{"formula": "ScPaTiIn", "functional": "PBE-GGA", "state": "optimized geometry", "total_energy_ev_per_atom": -6.577, "volume_a3_per_cell": 344, "ef_mev_per_atom": 39, "sg": "F-43m (216)", "lattice": [[7.0060, 0.0000, 0.0000], [0.0000, 7.0060, 0.0000], [0.0000, 0.0000, 7.0060]], "species": ["Sc", "Sc", "Sc", "Sc", "Pa", "Pa", "Pa", "Pa", "Ti", "Ti", "Ti", "Ti", "In", "In", "In", "In"], "frac_coords": [[0.0000, 0.0000, 0.0000], [0.0000, 0.5000, 0.5000], [0.5000, 0.0000, 0.5000], [0.5000, 0.5000, 0.0000], [0.2500, 0.2500, 0.7500], [0.2500, 0.7500, 0.2500], [0.7500, 0.2500, 0.2500], [0.7500, 0.7500, 0.7500], [0.0000, 0.0000, 0.5000], [0.0000, 0.5000, 0.0000], [0.5000, 0.0000, 0.0000], [0.5000, 0.5000, 0.5000], [0.2500, 0.2500, 0.2500], [0.2500, 0.7500, 0.7500], [0.7500, 0.2500, 0.7500], [0.7500, 0.7500, 0.2500]]}

---

Entry 6:
{"formula": "ScPaTlIn", "functional": "PBE-GGA", "state": "optimized geometry", "total_energy_ev_per_atom": -5.213, "volume_a3_per_cell": 406, "ef_mev_per_atom": 20, "sg": "F-43m (216)", "lattice": [[7.4031, 0.0000, 0.0000], [0.0000, 7.4031, 0.0000], [0.0000, 0.0000, 7.4031]], "species": ["Sc", "Sc", "Sc", "Sc", "Pa", "Pa", "Pa", "Pa", "Tl", "Tl", "Tl", "Tl", "In", "In", "In", "In"], "frac_coords": [[0.0000, 0.0000, 0.0000], [0.0000, 0.5000, 0.5000], [0.5000, 0.0000, 0.5000], [0.5000, 0.5000, 0.0000], [0.0000, 0.0000, 0.5000], [0.0000, 0.5000, 0.0000], [0.5000, 0.0000, 0.0000], [0.5000, 0.5000, 0.5000], [0.2500, 0.2500, 0.7500], [0.2500, 0.7500, 0.2500], [0.7500, 0.2500, 0.2500], [0.7500, 0.7500, 0.7500], [0.2500, 0.2500, 0.2500], [0.2500, 0.7500, 0.7500], [0.7500, 0.2500, 0.7500], [0.7500, 0.7500, 0.2500]]}

---

Entry 7:
{"formula": "ScPaZnIn", "functional": "PBE-GGA", "state": "optimized geometry", "total_energy_ev_per_atom": -5.003, "volume_a3_per_cell": 367, "ef_mev_per_atom": -43, "sg": "F-43m (216)", "lattice": [[7.1611, 0.0000, 0.0000], [0.0000, 7.1611, 0.0000], [0.0000, 0.0000, 7.1611]], "species": ["Sc", "Sc", "Sc", "Sc", "Pa", "Pa", "Pa", "Pa", "Zn", "Zn", "Zn", "Zn", "In", "In", "In", "In"], "frac_coords": [[0.0000, 0.0000, 0.0000], [0.0000, 0.5000, 0.5000], [0.5000, 0.0000, 0.5000], [0.5000, 0.5000, 0.0000], [0.0000, 0.0000, 0.5000], [0.0000, 0.5000, 0.0000], [0.5000, 0.0000, 0.0000], [0.5000, 0.5000, 0.5000], [0.2500, 0.2500, 0.2500], [0.2500, 0.7500, 0.7500], [0.7500, 0.2500, 0.7500], [0.7500, 0.7500, 0.2500], [0.2500, 0.2500, 0.7500], [0.2500, 0.7500, 0.2500], [0.7500, 0.2500, 0.2500], [0.7500, 0.7500, 0.7500]]}

---

Entry 8:
{"formula": "Pa4InSe8", "functional": "PBE-GGA", "state": "optimized geometry", "total_energy_ev_per_atom": -6.429, "de_polymorph_mev_per_atom": 49, "raw_formation_energy_ev_per_atom": -1.15, "volume_a3_per_cell": 442, "sg": "F-43m (216)", "lattice": [[0.0000, 6.0455, 6.0455], [6.0455, 0.0000, 6.0455], [6.0455, 6.0455, 0.0000]], "species": ["Pa", "Pa", "Pa", "Pa", "In", "Se", "Se", "Se", "Se", "Se", "Se", "Se", "Se"], "frac_coords": [[0.1230, 0.1230, 0.1230], [0.1230, 0.1230, 0.6311], [0.1230, 0.6311, 0.1230], [0.6311, 0.1230, 0.1230], [0.5000, 0.5000, 0.5000], [0.3425, 0.8858, 0.8858], [0.3608, 0.3608, 0.3608], [0.3608, 0.3608, 0.9176], [0.3608, 0.9176, 0.3608], [0.8858, 0.3425, 0.8858], [0.8858, 0.8858, 0.3425], [0.8858, 0.8858, 0.8858], [0.9176, 0.3608, 0.3608]]}

---

Entry 9:
{"formula": "Pa3In2Se8", "functional": "PBE-GGA", "state": "optimized geometry", "total_energy_ev_per_atom": -5.851, "raw_formation_energy_ev_per_atom": -1.09, "volume_a3_per_cell": 438, "sg": "P2/m (10)", "lattice": [[9.5193, 0.0000, 0.0000], [0.0000, 4.2751, 0.0000], [-4.6357, 0.0000, 10.7662]], "species": ["Pa", "Pa", "Pa", "In", "In", "Se", "Se", "Se", "Se", "Se", "Se", "Se", "Se"], "frac_coords": [[0.0000, 0.0000, 0.0000], [0.2636, 0.5000, 0.3435], [0.7364, 0.5000, 0.6565], [0.2559, 0.0000, 0.6858], [0.7441, 0.0000, 0.3142], [0.0516, 0.5000, 0.8621], [0.1177, 0.0000, 0.4094], [0.2955, 0.0000, 0.1830], [0.4204, 0.5000, 0.6071], [0.5796, 0.5000, 0.3929], [0.7045, 0.0000, 0.8170], [0.8823, 0.0000, 0.5906], [0.9484, 0.5000, 0.1379]]}

---

Entry 10:
{"formula": "Pa2InSe6", "functional": "PBE-GGA", "state": "optimized geometry", "total_energy_ev_per_atom": -5.850, "de_polymorph_mev_per_atom": 0, "raw_formation_energy_ev_per_atom": -1.11, "volume_a3_per_cell": 238, "sg": "C2/m (12)", "lattice": [[6.7467, -1.9976, 0.0000], [6.7467, 1.9976, 0.0000], [-0.6345, 0.0000, 8.8393]], "species": ["Pa", "Pa", "In", "Se", "Se", "Se", "Se", "Se", "Se"], "frac_coords": [[0.2378, 0.2378, 0.2314], [0.7622, 0.7622, 0.7686], [0.5000, 0.5000, 0.5000], [0.1530, 0.1530, 0.9177], [0.1610, 0.1610, 0.5499], [0.4106, 0.4106, 0.7766], [0.5894, 0.5894, 0.2234], [0.8390, 0.8390, 0.4501], [0.8470, 0.8470, 0.0823]]}

---

Entry 11:
{"formula": "Pa4InSe8", "functional": "PBE-GGA", "state": "optimized geometry", "total_energy_ev_per_atom": -6.478, "de_polymorph_mev_per_atom": 0, "raw_formation_energy_ev_per_atom": -1.20, "volume_a3_per_cell": 392, "sg": "Cm (8)", "lattice": [[8.8409, -2.0901, 0.0000], [8.8409, 2.0901, 0.0000], [-7.5625, 0.0000, 10.6202]], "species": ["Pa", "Pa", "Pa", "Pa", "In", "Se", "Se", "Se", "Se", "Se", "Se", "Se", "Se"], "frac_coords": [[0.0000, 0.0000, 0.0000], [0.2670, 0.2670, 0.6611], [0.4999, 0.4999, 0.4949], [0.7310, 0.7310, 0.3232], [0.6830, 0.6830, 0.9332], [0.1018, 0.1018, 0.6757], [0.1940, 0.1940, 0.1399], [0.3433, 0.3433, 0.5107], [0.4772, 0.4772, 0.8346], [0.5227, 0.5227, 0.1602], [0.6545, 0.6545, 0.4757], [0.8066, 0.8066, 0.8392], [0.8991, 0.8991, 0.3207]]}

---

Entry 12:
{"formula": "PaInSe2", "functional": "PBE-GGA", "state": "optimized geometry", "total_energy_ev_per_atom": -5.696, "raw_formation_energy_ev_per_atom": -0.90, "volume_a3_per_cell": 100, "sg": "P4/mmm (123)", "lattice": [[3.5766, 0.0000, 0.0000], [0.0000, 3.5766, 0.0000], [0.0000, 0.0000, 7.8317]], "species": ["Pa", "In", "Se", "Se"], "frac_coords": [[0.0000, 0.0000, 0.0000], [0.0000, 0.0000, 0.5000], [0.5000, 0.5000, 0.2059], [0.5000, 0.5000, 0.7941]]}